An optimized crystal structure of Tb5NdAg4, computed with PBE.

The total DFT energy (no corrections) is -4.18 eV/atom.

Structure (POSCAR):
```
Tb5NdAg4
1.0
3.629 0.000 0.000
0.000 3.629 0.000
0.000 0.000 19.875
Ag Tb Nd
4 5 1
Direct
0.000 0.000 0.407 Ag
0.000 0.000 0.221 Ag
0.000 0.000 0.779 Ag
0.000 0.000 0.593 Ag
0.500 0.500 0.313 Tb
0.500 0.500 0.687 Tb
0.500 0.500 0.871 Tb
0.500 0.500 0.129 Tb
0.500 0.500 0.500 Tb
0.000 0.000 0.000 Nd
```